PBE-GGA BaLa2O4, relaxed; E = -7.69 eV per atom; V = 18.27 Å³ per atom; magnetic moment = 0.000 μB per cell; ΔE to the lowest computed polymorph = 7 meV/atom; crystal system = orthorhombic
1.0
3.7085 0.0000 0.0000
0.0000 10.8386 0.0000
0.0000 0.0000 12.7303
Ba La O
4 8 16
Direct
0.7500 0.2489 0.3542
0.2500 0.2511 0.8542
0.7500 0.7489 0.1458
0.2500 0.7511 0.6458
0.7500 0.0754 0.6137
0.7500 0.0806 0.1122
0.2500 0.4194 0.6122
0.2500 0.4246 0.1137
0.7500 0.5754 0.8863
0.7500 0.5806 0.3878
0.2500 0.9194 0.8878
0.2500 0.9246 0.3863
0.2500 0.0135 0.7167
0.7500 0.0703 0.9240
0.2500 0.1231 0.4817
0.2500 0.2121 0.1750
0.7500 0.2879 0.6750
0.7500 0.3769 0.9817
0.2500 0.4297 0.4240
0.7500 0.4865 0.2167
0.2500 0.5135 0.7833
0.7500 0.5703 0.5760
0.2500 0.6231 0.0183
0.2500 0.7121 0.3250
0.7500 0.7879 0.8250
0.7500 0.8769 0.5183
0.2500 0.9297 0.0760
0.7500 0.9865 0.2833